Arrangement i

Here is crystalline TeRu3 at its relaxed geometry from Alexandria. Energies are from GGA-PBE.

a = 2.943 Å, b = 3.758 Å, c = 5.760 Å
α = 90.00°, β = 90.00°, γ = 90.00°
Element x y z (fractional)
Te: 0.000 0.000 0.000
Ru: 0.000 0.000 0.500
Ru: 0.500 0.500 0.273
Ru: 0.500 0.500 0.727

The value obtained for the density of states at the Fermi level is 4.348 states/eV/f.u. The density is 11.23 g cm⁻³.

***

Arrangement ii

Here is crystalline TeRu3 at its relaxed geometry from Alexandria. Energies are from GGA-PBE.

a = 4.760 Å, b = 4.760 Å, c = 4.758 Å
α = 97.68°, β = 97.68°, γ = 36.36°
Element x y z (fractional)
Te: 0.000 0.000 0.000
Ru: 0.238 0.238 0.726
Ru: 0.500 0.500 0.500
Ru: 0.762 0.762 0.274

The value obtained for the density of states at the Fermi level is 3.178 states/eV/f.u. The density is 11.30 g cm⁻³.

***

The structure with the greatest stability is arrangement ii.

***

Arrangement i

Here is crystalline TeRu3 at its relaxed geometry from Alexandria. Energies are from GGA-PBE.

a = 5.046 Å, b = 5.046 Å, c = 5.046 Å
α = 90.00°, β = 90.00°, γ = 90.00°
Element x y z (fractional)
Te: 0.000 0.000 0.000
Te: 0.500 0.500 0.500
Ru: 0.000 0.250 0.500
Ru: 0.000 0.750 0.500
Ru: 0.250 0.500 0.000
Ru: 0.500 0.000 0.250
Ru: 0.500 0.000 0.750
Ru: 0.750 0.500 0.000

The value obtained for the density of states at the Fermi level is 8.663 states/eV/f.u. The density is 11.14 g cm⁻³.

***

Arrangement ii

Here is crystalline TeRu3 at its relaxed geometry from Alexandria. Energies are from GGA-PBE.

a = 5.373 Å, b = 5.373 Å, c = 5.373 Å
α = 147.90°, β = 61.58°, γ = 128.97°
Element x y z (fractional)
Te: 0.000 0.000 0.000
Ru: 0.453 0.681 0.772
Ru: 0.458 0.958 0.500
Ru: 0.910 0.681 0.228

The value obtained for the density of states at the Fermi level is 3.559 states/eV/f.u. The density is 11.27 g cm⁻³.

***

The structure with the greatest stability is arrangement ii.

***

Arrangement i

Here is crystalline Te4Ru5 at its relaxed geometry from Alexandria. Energies are from GGA-PBE.

a = 7.388 Å, b = 7.388 Å, c = 7.388 Å
α = 93.47°, β = 93.47°, γ = 151.53°
Element x y z (fractional)
Te: 0.000 0.282 0.282
Te: 0.000 0.718 0.718
Te: 0.282 0.000 0.282
Te: 0.718 0.000 0.718
Ru: 0.000 0.000 0.000
Ru: 0.361 0.361 0.723
Ru: 0.361 0.639 0.000
Ru: 0.639 0.361 0.000
Ru: 0.639 0.639 0.277

The value obtained for the density of states at the Fermi level is 6.230 states/eV/f.u. The density is 9.05 g cm⁻³.

***

Arrangement ii

Here is crystalline Te4Ru5 at its relaxed geometry from Alexandria. Energies are from GGA-PBE.

a = 7.964 Å, b = 7.964 Å, c = 5.865 Å
α = 90.00°, β = 90.00°, γ = 120.00°
Element x y z (fractional)
Te: 0.000 0.000 0.000
Te: 0.000 0.000 0.500
Te: 0.000 0.362 0.250
Te: 0.000 0.638 0.750
Te: 0.362 0.000 0.250
Te: 0.362 0.362 0.750
Te: 0.638 0.000 0.750
Te: 0.638 0.638 0.250
Ru: 0.000 0.325 0.750
Ru: 0.000 0.675 0.250
Ru: 0.325 0.000 0.750
Ru: 0.325 0.325 0.250
Ru: 0.333 0.667 0.000
Ru: 0.333 0.667 0.500
Ru: 0.667 0.333 0.000
Ru: 0.667 0.333 0.500
Ru: 0.675 0.000 0.250
Ru: 0.675 0.675 0.750

The value obtained for the density of states at the Fermi level is 7.922 states/eV/f.u. The density is 10.47 g cm⁻³.

***

The structure with the greatest stability is arrangement i.

***

Arrangement i

Here is crystalline TeRu4 at its relaxed geometry from Alexandria. Energies are from GGA-PBE.

a = 7.023 Å, b = 7.023 Å, c = 7.023 Å
α = 150.43°, β = 150.43°, γ = 42.32°
Element x y z (fractional)
Te: 0.000 0.000 0.000
Ru: 0.250 0.750 0.500
Ru: 0.396 0.396 0.000
Ru: 0.604 0.604 0.000
Ru: 0.750 0.250 0.500

The value obtained for the density of states at the Fermi level is 6.783 states/eV/f.u. The density is 10.49 g cm⁻³.

***

Arrangement ii

Here is crystalline TeRu4 at its relaxed geometry from Alexandria. Energies are from GGA-PBE.

a = 4.761 Å, b = 4.761 Å, c = 4.761 Å
α = 90.00°, β = 90.00°, γ = 90.00°
Element x y z (fractional)
Te: 0.000 0.000 0.000
Ru: 0.000 0.000 0.500
Ru: 0.000 0.500 0.000
Ru: 0.500 0.000 0.000
Ru: 0.500 0.500 0.500

The value obtained for the density of states at the Fermi level is 4.065 states/eV/f.u. The density is 8.18 g cm⁻³.

***

The structure with the greatest stability is arrangement i.

***

Arrangement i

Here is crystalline TeRu4 at its relaxed geometry from Alexandria. Energies are from GGA-PBE.

a = 5.001 Å, b = 5.001 Å, c = 5.001 Å
α = 109.47°, β = 109.47°, γ = 109.47°
Element x y z (fractional)
Te: 0.000 0.000 0.000
Ru: 0.000 0.000 0.500
Ru: 0.000 0.500 0.000
Ru: 0.500 0.000 0.000
Ru: 0.500 0.500 0.500

The value obtained for the density of states at the Fermi level is 9.860 states/eV/f.u. The density is 9.17 g cm⁻³.

***

Arrangement ii

Here is crystalline TeRu4 at its relaxed geometry from Alexandria. Energies are from GGA-PBE.

a = 4.810 Å, b = 4.810 Å, c = 4.810 Å
α = 99.70°, β = 99.70°, γ = 131.52°
Element x y z (fractional)
Te: 0.000 0.000 0.000
Ru: 0.184 0.400 0.584
Ru: 0.400 0.816 0.216
Ru: 0.600 0.184 0.784
Ru: 0.816 0.600 0.416

The value obtained for the density of states at the Fermi level is 3.617 states/eV/f.u. The density is 11.62 g cm⁻³.

***

The structure with the greatest stability is arrangement ii.

***

Arrangement i

Here is crystalline ThTeRu at its relaxed geometry from Alexandria. Energies are from GGA-PBE.

a = 4.737 Å, b = 4.737 Å, c = 4.737 Å
α = 60.00°, β = 60.00°, γ = 60.00°
Element x y z (fractional)
Th: 0.000 0.000 0.000
Te: 0.500 0.500 0.500
Ru: 0.750 0.750 0.750

The value obtained for the density of states at the Fermi level is 0.337 states/eV/f.u. The density is 10.18 g cm⁻³.

***

Arrangement ii

Here is crystalline ThTeRu at its relaxed geometry from Alexandria. Energies are from GGA-PBE.

a = 12.188 Å, b = 4.123 Å, c = 6.565 Å
α = 90.00°, β = 90.00°, γ = 90.00°
Element x y z (fractional)
Th: 0.145 0.250 0.163
Th: 0.355 0.750 0.663
Th: 0.645 0.250 0.337
Th: 0.855 0.750 0.837
Te: 0.135 0.250 0.664
Te: 0.365 0.750 0.164
Te: 0.635 0.250 0.836
Te: 0.865 0.750 0.336
Ru: 0.065 0.750 0.901
Ru: 0.435 0.250 0.401
Ru: 0.565 0.750 0.599
Ru: 0.935 0.250 0.099

The value obtained for the density of states at the Fermi level is 0.559 states/eV/f.u. The density is 9.28 g cm⁻³.

***

Arrangement iii

Here is crystalline ThTeRu at its relaxed geometry from Alexandria. Energies are from GGA-PBE.

a = 3.958 Å, b = 3.958 Å, c = 11.158 Å
α = 101.19°, β = 101.19°, γ = 84.44°
Element x y z (fractional)
Th: 0.101 0.101 0.203
Th: 0.899 0.899 0.797
Te: 0.325 0.321 0.645
Te: 0.679 0.675 0.355
Ru: 0.413 0.169 0.000
Ru: 0.831 0.587 0.000

The value obtained for the density of states at the Fermi level is 1.981 states/eV/f.u. The density is 9.11 g cm⁻³.

***

Arrangement iv

Here is crystalline ThTeRu at its relaxed geometry from Alexandria. Energies are from GGA-PBE.

a = 4.538 Å, b = 4.538 Å, c = 3.943 Å
α = 90.00°, β = 90.00°, γ = 120.00°
Element x y z (fractional)
Th: 0.000 0.000 0.000
Te: 0.667 0.333 0.515
Ru: 0.333 0.667 0.421

The value obtained for the density of states at the Fermi level is 1.114 states/eV/f.u. The density is 10.88 g cm⁻³.

***

The structure with the greatest stability is arrangement i.